[1]
This record from Alexandria via LeMat-Bulk describes a geometry-optimized CrNi2Os structure. The functional is PBE.

## Properties
For the density, the calculation gives 11.53 Mg/m³. For the density of states at the Fermi level, the calculation gives 1.32 states/eV/atom. Its formation energy is 0.52 eV per atom. As for the space-group type: I-42d.

Cell: 8.9712 8.9712 8.9712 Å, 157.74 157.74 31.69°
Last column: nearest neighbours and their distance in Å.
Positions (direct):
Cr 0.0000 0.0000 0.0000  4 Os 2.45, 4 Ni 2.48
Cr 0.7500 0.2500 0.5000  4 Os 2.45, 4 Ni 2.48
Ni 0.1218 0.6250 0.9968  4 Ni 2.43-2.46, 2 Cr 2.48, 2 Os 2.48
Ni 0.3750 0.3718 0.4968  4 Ni 2.43-2.46, 2 Cr 2.48, 2 Os 2.48
Ni 0.6282 0.1250 0.0032  4 Ni 2.43-2.46, 2 Cr 2.48, 2 Os 2.48
Ni 0.8750 0.8782 0.5032  4 Ni 2.43-2.46, 2 Cr 2.48, 2 Os 2.48
Os 0.2500 0.7500 0.5000  4 Cr 2.45, 4 Ni 2.48
Os 0.5000 0.5000 0.0000  4 Cr 2.45, 4 Ni 2.48


[2]
This record from Alexandria via LeMat-Bulk describes a geometry-optimized SbH32C8N4Cl7 structure. The functional is PBE.

## Properties
For the density, the calculation gives 1.46 Mg/m³. For the density of states at the Fermi level, the calculation gives 0.00 states/eV/atom. For the total energy, the calculation gives -4.853 eV/atom. As for the space-group type: P2_12_12.

Cell: 10.4021 13.8469 8.7701 Å, 90.00 90.00 90.00°
Last column: nearest neighbours and their distance in Å.
Positions (direct):
Sb 0.0000 0.0000 0.0914  6 Cl 2.59-2.83
Sb 0.5000 0.5000 0.9086  6 Cl 2.59-2.83
H 0.0096 0.3696 0.8223  1 C 1.09
H 0.0529 0.3666 0.0967  1 C 1.10
H 0.0585 0.6924 0.2219  1 C 1.09
H 0.0755 0.9034 0.6301  1 C 1.09
H 0.0776 0.7577 0.9755  1 N 1.04
H 0.0947 0.5744 0.1497  1 C 1.09
H 0.1329 0.5603 0.8601  1 C 1.10
H 0.1446 0.6697 0.7534  1 C 1.09
H 0.1578 0.7670 0.4702  1 C 1.10
H 0.1609 0.0160 0.6258  1 C 1.09
H 0.1729 0.4418 0.5228  1 N 1.06
H 0.1839 0.9337 0.3875  1 N 1.03
H 0.1866 0.2759 0.4421  1 C 1.10
H 0.2024 0.2861 0.6453  1 C 1.10
H 0.2119 0.6928 0.0140  1 N 1.04
H 0.2295 0.9139 0.7206  1 C 1.10
H 0.2705 0.4139 0.2794  1 C 1.10
H 0.2881 0.1928 0.9860  1 N 1.04
H 0.2976 0.7861 0.3547  1 C 1.10
H 0.3134 0.7759 0.5579  1 C 1.10
H 0.3161 0.4337 0.6125  1 N 1.03
H 0.3271 0.9418 0.4772  1 N 1.06
H 0.3391 0.5160 0.3742  1 C 1.09
H 0.3422 0.2670 0.5298  1 C 1.10
H 0.3554 0.1697 0.2466  1 C 1.09
H 0.3671 0.0603 0.1399  1 C 1.10
H 0.4053 0.0744 0.8503  1 C 1.09
H 0.4224 0.2577 0.0245  1 N 1.04
H 0.4245 0.4034 0.3699  1 C 1.09
H 0.4415 0.1924 0.7781  1 C 1.09
H 0.4471 0.8666 0.9033  1 C 1.10
H 0.4904 0.8696 0.1777  1 C 1.09
H 0.5096 0.1304 0.1777  1 C 1.09
H 0.5529 0.1334 0.9033  1 C 1.10
H 0.5585 0.8076 0.7781  1 C 1.09
H 0.5755 0.5966 0.3699  1 C 1.09
H 0.5776 0.7423 0.0245  1 N 1.04
H 0.5947 0.9256 0.8503  1 C 1.09
H 0.6329 0.9397 0.1399  1 C 1.10
H 0.6446 0.8303 0.2466  1 C 1.09
H 0.6578 0.7330 0.5298  1 C 1.10
H 0.6609 0.4840 0.3742  1 C 1.09
H 0.6729 0.0582 0.4772  1 N 1.06
H 0.6839 0.5663 0.6125  1 N 1.03
H 0.6866 0.2241 0.5579  1 C 1.10
H 0.7024 0.2139 0.3547  1 C 1.10
H 0.7119 0.8072 0.9860  1 N 1.04
H 0.7295 0.5861 0.2794  1 C 1.10
H 0.7705 0.0861 0.7206  1 C 1.10
H 0.7881 0.3072 0.0140  1 N 1.04
H 0.7976 0.7139 0.6453  1 C 1.10
H 0.8134 0.7241 0.4421  1 C 1.10
H 0.8161 0.0663 0.3875  1 N 1.03
H 0.8271 0.5582 0.5228  1 N 1.06
H 0.8391 0.9840 0.6258  1 C 1.09
H 0.8422 0.2330 0.4702  1 C 1.10
H 0.8554 0.3303 0.7534  1 C 1.09
H 0.8671 0.4397 0.8601  1 C 1.10
H 0.9053 0.4256 0.1497  1 C 1.09
H 0.9224 0.2423 0.9755  1 N 1.04
H 0.9245 0.0966 0.6301  1 C 1.09
H 0.9415 0.3076 0.2219  1 C 1.09
H 0.9471 0.6334 0.0967  1 C 1.10
H 0.9904 0.6304 0.8223  1 C 1.09
C 0.0489 0.6437 0.1244  3 H 1.09-1.10
C 0.0936 0.6331 0.8460  3 H 1.09-1.10
C 0.1705 0.9373 0.6238  3 H 1.09-1.10
C 0.2477 0.3019 0.5353  3 H 1.10
C 0.2523 0.8019 0.4647  3 H 1.10
C 0.3295 0.4373 0.3762  3 H 1.09-1.10
C 0.4064 0.1331 0.1540  3 H 1.09-1.10
C 0.4511 0.1437 0.8756  3 H 1.09-1.10
C 0.5489 0.8563 0.8756  3 H 1.09-1.10
C 0.5936 0.8669 0.1540  3 H 1.09-1.10
C 0.6705 0.5627 0.3762  3 H 1.09-1.10
C 0.7477 0.1981 0.4647  3 H 1.10
C 0.7523 0.6981 0.5353  3 H 1.10
C 0.8295 0.0627 0.6238  3 H 1.09-1.10
C 0.9064 0.3669 0.8460  3 H 1.09-1.10
C 0.9511 0.3563 0.1244  3 H 1.09-1.10
N 0.1137 0.6881 0.9901  2 H 1.04
N 0.2353 0.9080 0.4800  2 H 1.03-1.06
N 0.2647 0.4080 0.5200  2 H 1.03-1.06
N 0.3863 0.1881 0.0099  2 H 1.04
N 0.6137 0.8119 0.0099  2 H 1.04
N 0.7353 0.5920 0.5200  2 H 1.03-1.06
N 0.7647 0.0920 0.4800  2 H 1.03-1.06
N 0.8863 0.3119 0.9901  2 H 1.04
Cl 0.0000 0.5000 0.4826  2 H 2.00
Cl 0.0754 0.1110 0.3116  1 Sb 2.59, 3 H 2.78-2.85
Cl 0.0932 0.1459 0.8951  2 H 2.27-2.33
Cl 0.2250 0.9071 0.0889  5 H 2.62-2.91, 1 Sb 2.67
Cl 0.2750 0.4071 0.9111  5 H 2.62-2.91, 1 Sb 2.67
Cl 0.4068 0.6459 0.1049  2 H 2.27-2.33
Cl 0.4246 0.6110 0.6884  1 Sb 2.59, 3 H 2.78-2.85
Cl 0.5000 0.0000 0.5174  2 H 2.00
Cl 0.5754 0.3890 0.6884  1 Sb 2.59, 3 H 2.78-2.85
Cl 0.5932 0.3541 0.1049  2 H 2.27-2.33
Cl 0.7250 0.5929 0.9111  5 H 2.62-2.91, 1 Sb 2.67
Cl 0.7750 0.0929 0.0889  5 H 2.62-2.91, 1 Sb 2.67
Cl 0.9068 0.8541 0.8951  2 H 2.27-2.33
Cl 0.9246 0.8890 0.3116  1 Sb 2.59, 3 H 2.78-2.85


[3]
This record from Alexandria via LeMat-Bulk describes a geometry-optimized BaAu2 structure. The functional is PBE.

## Properties
For the density, the calculation gives 9.76 Mg/m³. For the density of states at the Fermi level, the calculation gives 0.38 states/eV/atom. Its formation energy is -0.72 eV per atom. As for the space-group type: I4_1/amd.

Cell: 9.3133 9.3133 9.3133 Å, 151.74 151.74 40.40°
Last column: nearest neighbours and their distance in Å.
Positions (direct):
Ba 0.3750 0.6250 0.7500  12 Au 3.50-3.75
Ba 0.6250 0.3750 0.2500  12 Au 3.50-3.75
Au 0.0459 0.7959 0.2500  3 Au 2.76-2.78
Au 0.2041 0.9541 0.2500  3 Au 2.76-2.78
Au 0.7959 0.0459 0.7500  3 Au 2.76-2.78
Au 0.9541 0.2041 0.7500  3 Au 2.76-2.78


[4]
This record from Alexandria via LeMat-Bulk describes a geometry-optimized CaGa7Pd5 structure. The functional is PBE.

## Properties
For the density, the calculation gives 7.98 Mg/m³. For the density of states at the Fermi level, the calculation gives 0.37 states/eV/atom. Its formation energy is -0.58 eV per atom. As for the space-group type: Imm2.

Cell: 6.9023 6.9023 6.9023 Å, 132.81 95.94 102.53°
Last column: nearest neighbours and their distance in Å.
Positions (direct):
Ca 0.0000 0.0000 0.0000  8 Ga 2.98-3.29, 4 Pd 3.31
Ga 0.2069 0.5134 0.6934  5 Pd 2.60-2.65, 1 Ga 2.83
Ga 0.3297 0.9854 0.3443  5 Pd 2.62-2.78, 2 Ga 2.77-2.88
Ga 0.3449 0.3449 0.0000  1 Ga 2.51
Ga 0.6357 0.6357 0.0000  1 Ga 2.51, 4 Pd 2.74
Ga 0.6412 0.9854 0.6557  5 Pd 2.62-2.78, 2 Ga 2.77-2.88
Ga 0.7591 0.2591 0.5000  4 Pd 2.53, 4 Ga 2.77-2.83
Ga 0.8200 0.5134 0.3066  5 Pd 2.60-2.65, 1 Ga 2.83
Pd 0.2320 0.7320 0.5000  4 Ga 2.60-2.62, 4 Pd 2.86
Pd 0.5240 0.0051 0.0215  6 Ga 2.53-2.78, 2 Pd 2.75-2.78
Pd 0.5240 0.5025 0.5189  6 Ga 2.53-2.78, 2 Pd 2.75-2.78
Pd 0.9836 0.0051 0.4811  6 Ga 2.53-2.78, 2 Pd 2.75-2.78
Pd 0.9836 0.5025 0.9785  6 Ga 2.53-2.78, 2 Pd 2.75-2.78


[5]
This record from Alexandria via LeMat-Bulk describes a geometry-optimized CeSm2WN4 structure. The functional is PBE.

## Properties
For the density, the calculation gives 8.91 Mg/m³. For the density of states at the Fermi level, the calculation gives 0.93 states/eV/atom. As for the space-group type: Cmcm. As for the formation energy without anion corrections: -1.017 eV/atom.

Cell: 6.2785 6.2785 12.2665 Å, 90.00 90.00 148.34°
Last column: nearest neighbours and their distance in Å.
Positions (direct):
Ce 0.0899 0.9101 0.7500  2 N 2.54
Ce 0.9101 0.0899 0.2500  2 N 2.54
Sm 0.3701 0.6299 0.5378  5 N 2.37-2.64
Sm 0.3701 0.6299 0.9622  5 N 2.37-2.64
Sm 0.6299 0.3701 0.0378  5 N 2.37-2.64
Sm 0.6299 0.3701 0.4622  5 N 2.37-2.64
W 0.1697 0.8303 0.2500  4 N 1.90-2.13
W 0.8303 0.1697 0.7500  4 N 1.90-2.13
N 0.0000 0.0000 0.0000  4 Sm 2.37
N 0.0000 0.0000 0.5000  4 Sm 2.37
N 0.2678 0.7322 0.1287  1 W 1.90
N 0.2678 0.7322 0.3713  1 W 1.90
N 0.4348 0.5652 0.7500  2 W 2.13
N 0.5652 0.4348 0.2500  2 W 2.13
N 0.7322 0.2678 0.6287  1 W 1.90
N 0.7322 0.2678 0.8713  1 W 1.90


[6]
This record from Alexandria via LeMat-Bulk describes a geometry-optimized LiNdGaCo structure. The functional is PBE.

## Properties
For the density, the calculation gives 6.75 Mg/m³. For the density of states at the Fermi level, the calculation gives 1.22 states/eV/atom. Its formation energy is -0.16 eV per atom. As for the space-group type: F-43m.

Cell: 4.6013 4.6013 4.6013 Å, 60.00 60.00 60.00°
Last column: nearest neighbours and their distance in Å.
Positions (direct):
Li 0.0000 0.0000 0.0000  4 Ga 2.82, 4 Nd 2.82
Nd 0.2500 0.2500 0.2500  4 Co 2.82, 4 Li 2.82
Ga 0.7500 0.7500 0.7500  4 Li 2.82, 4 Co 2.82
Co 0.5000 0.5000 0.5000  4 Nd 2.82, 4 Ga 2.82


[7]
This record from Alexandria via LeMat-Bulk describes a geometry-optimized SnOs structure. The functional is PBE.

## Properties
For the density, the calculation gives 14.07 Mg/m³. For the density of states at the Fermi level, the calculation gives 0.69 states/eV/atom. Its formation energy is 0.51 eV per atom. As for the space-group type: Pmmn.

Cell: 3.1137 15.4329 4.5517 Å, 90.00 90.00 90.00°
Last column: nearest neighbours and their distance in Å.
Positions (direct):
Sn 0.2500 0.0898 0.0818  6 Os 2.66-2.86
Sn 0.2500 0.4102 0.0818  6 Os 2.66-2.86
Sn 0.2500 0.7500 0.6217  6 Os 2.71-2.97
Sn 0.7500 0.2500 0.3783  6 Os 2.71-2.97
Sn 0.7500 0.5898 0.9182  6 Os 2.66-2.86
Sn 0.7500 0.9102 0.9182  6 Os 2.66-2.86
Os 0.2500 0.2500 0.8664  6 Sn 2.66-2.80
Os 0.2500 0.5672 0.4157  2 Os 2.70, 6 Sn 2.77-2.97
Os 0.2500 0.9328 0.4157  2 Os 2.70, 6 Sn 2.77-2.97
Os 0.7500 0.0672 0.5843  2 Os 2.70, 6 Sn 2.77-2.97
Os 0.7500 0.4328 0.5843  2 Os 2.70, 6 Sn 2.77-2.97
Os 0.7500 0.7500 0.1336  6 Sn 2.66-2.80